Computed, not measured: a relaxed TcBr2 crystal at the GGA-PBE level of DFT.

Results
Spin magnetization = 4.0 μB per cell
VASP energy = -48.928 eV per cell
Energy relative to the elements, uncorrected = 1.48 eV per formula unit
Relative energy among the computed polymorphs = 799.9 meV per atom
N(E_F) = 13.56 states/eV/cell

```
data_TcBr2
_space_group_name_H-M_alt 'I 4/m c m'
_space_group_IT_number 140
_space_group_name_Hall '-I 4 2c'
_cell_length_a 6.478
_cell_length_b 6.478
_cell_length_c 5.985
_cell_angle_alpha 90.00
_cell_angle_beta 90.00
_cell_angle_gamma 90.00
loop_
_atom_site_label
_atom_site_fract_x
_atom_site_fract_y
_atom_site_fract_z
_atom_site_occupancy
Tc1 0.000 0.000 0.250 1
Br1 0.191 0.309 0.000 1
```